# 1
# Ce4Er3ThSe8

An optimized crystal structure of Ce4Er3ThSe8 (PBE, Alexandria).

Computed properties:
E_form (uncorrected), eV per atom: -1.745
E, eV per atom: -6.2901
SG: No. 12

```
Ce4Er3ThSe8
1.0
8.2659 -0.0018 -0.0073
-0.0018 8.2995 0.0202
-4.1372 -4.1266 5.8517
Ce Er Th Se
4 3 1 8
Direct
0.5000 0.0000 0.0000
0.5000 0.0000 0.5000
0.0000 0.0000 0.0000
0.0000 0.0000 0.5000
0.5000 0.5000 0.0000
0.5000 0.5000 0.5000
0.0000 0.5000 0.5000
0.0000 0.5000 0.0000
0.2510 0.7403 0.9892
0.2511 0.7403 0.5022
0.2550 0.2651 0.5101
0.7382 0.7403 0.9892
0.2618 0.2597 0.0108
0.7450 0.7349 0.4899
0.7489 0.2597 0.4978
0.7490 0.2597 0.0108
```



# 2
# Ce4ErTh3Se8

An optimized crystal structure of Ce4ErTh3Se8 (PBE, Alexandria).

Computed properties:
E_form (uncorrected), eV per atom: -1.704
E, eV per atom: -6.6057
SG: No. 166

```
Ce4ErTh3Se8
1.0
-8.0058 -2.1619 1.1010
0.5262 -5.2509 -6.4845
5.4136 -0.6311 6.3455
Ce Er Th Se
4 1 3 8
Direct
0.5000 0.0000 0.0000
0.5000 0.0000 0.5000
0.0000 0.0000 0.0000
0.0000 0.0000 0.5000
0.0000 0.5000 0.0000
0.5000 0.5000 0.0000
0.5000 0.5000 0.5000
0.0000 0.5000 0.5000
0.2443 0.7461 0.0018
0.2443 0.7461 0.4885
0.2489 0.2468 0.4979
0.7576 0.7461 0.0018
0.2424 0.2539 0.9982
0.7511 0.7532 0.5021
0.7557 0.2539 0.5115
0.7557 0.2539 0.9982
```



> E_form (uncorrected) of number 2 (Ce4ErTh3Se8)?

-1.704 eV per atom



> E of number 1 (Ce4Er3ThSe8)?

-6.2901 eV per atom